Below is a geometry-optimized Tb2InTcC structure, with properties calculated at the PBE-GGA level.

Calculated values
volume = 20.35 A^3/atom
VASP energy = -33.45 eV per cell
space-group type = P4/mmm (123)
calculated formation energy = -0.372 eV/atom

a b c (Å): 4.030 5.025 5.025
angles (deg): 90.00 90.00 90.00
Sites, in units of the cell vectors:
C (0.000, 0.000, 0.000)
Tc (0.500, 0.000, 0.000)
Tb (0.000, 0.000, 0.500)
Tb (0.000, 0.500, 0.000)
In (0.500, 0.500, 0.500)


Below is a geometry-optimized CeEr2S3 structure, with properties calculated at the PBE-GGA level.

Calculated values
volume = 21.27 A^3/atom
VASP energy = -39.35 eV per cell
space-group type = Immm (71)
ΔE_f (raw) = -1.98 eV per atom

a b c (Å): 3.890 5.557 6.810
angles (deg): 114.08 106.60 90.00
Site moments in Bohr magnetons follow the coordinates.
Sites, in units of the cell vectors:
Er (0.836, 0.336, 0.672)  0.02
S (0.175, 0.175, 0.350)  -0.01
Er (0.164, 0.664, 0.328)  0.02
S (0.500, 0.500, 0.000)  -0.01
Ce (0.500, 0.000, 0.000)  0.59
S (0.825, 0.825, 0.650)  -0.01


Below is a geometry-optimized SnHRhBr2 structure, with properties calculated at the PBE-GGA level.

Calculated values
volume = 33.79 A^3/atom
VASP energy = -14.49 eV per cell
space-group type = P4/mmm (123)

a b c (Å): 5.720 5.162 5.720
angles (deg): 90.00 90.00 90.00
Site moments in Bohr magnetons follow the coordinates.
Sites, in units of the cell vectors:
Sn (0.000, 0.000, 0.000)  -0.05
H (0.500, 0.500, 0.500)  0.38
Br (0.500, 0.000, 0.000)  0.02
Rh (0.000, 0.500, 0.000)  0.99
Br (0.000, 0.000, 0.500)  0.00


Below is a geometry-optimized ZnPPt structure, with properties calculated at the PBE-GGA level.

Calculated values
volume = 16.10 A^3/atom
VASP energy = -13.07 eV per cell
space-group type = P-6m2 (187)
calculated formation energy = -0.115 eV/atom

a b c (Å): 4.056 4.056 3.390
angles (deg): 90.00 90.00 120.00
Sites, in units of the cell vectors:
Pt (0.667, 0.333, 0.000)
Zn (0.333, 0.667, 0.500)
P (0.000, 0.000, 0.000)